#A
Density functional theory data (PBEsol) for LiSb after structural relaxation.

Unit cell a=3.2519 b=4.7997 c=5.4582 alpha=90.00 beta=90.00 gamma=90.00
With the nearest neighbours (Å) after each atom.
Atoms (fractional coordinates):
Sb 0.0000 0.8371 0.2500  4 Li 2.89-2.91, 2 Sb 3.15
Li 0.5000 0.3344 0.2500  4 Sb 2.89-2.91, 2 Li 3.16
Li 0.5000 0.6656 0.7500  4 Sb 2.89-2.91, 2 Li 3.16
Sb 0.0000 0.1629 0.7500  4 Li 2.89-2.91, 2 Sb 3.15

=====

#B
Density functional theory data (PBEsol) for LiSb after structural relaxation.

Unit cell a=3.2927 b=3.2927 c=4.8598 alpha=70.20 beta=70.20 gamma=60.00
With the nearest neighbours (Å) after each atom.
Atoms (fractional coordinates):
Sb 0.5000 0.5000 0.5000  6 Li 2.94
Li 0.0000 0.0000 0.0000  6 Sb 2.94

=====

Least stable structure: #A

=====

#A
Density functional theory data (PBEsol) for LiSb after structural relaxation.

Unit cell a=4.0269 b=4.3106 c=5.4919 alpha=66.89 beta=90.00 gamma=90.00
With the nearest neighbours (Å) after each atom.
Atoms (fractional coordinates):
Sb 0.2500 0.1073 0.7855  7 Li 2.92-3.03, 2 Sb 2.96
Li 0.2500 0.3964 0.2073  2 Li 2.91, 7 Sb 2.92-3.03
Sb 0.7500 0.8927 0.2145  7 Li 2.92-3.03, 2 Sb 2.96
Li 0.7500 0.6036 0.7927  2 Li 2.91, 7 Sb 2.92-3.03

=====

#B
Density functional theory data (PBEsol) for LiSb after structural relaxation.

Unit cell a=4.1500 b=4.1500 c=5.6883 alpha=111.39 beta=111.39 gamma=90.00
With the nearest neighbours (Å) after each atom.
Atoms (fractional coordinates):
Sb 0.5000 0.5000 0.0000  8 Li 2.93-3.20, 4 Sb 3.20
Sb 0.7500 0.2500 0.5000  8 Li 2.93-3.20, 4 Sb 3.20
Li 0.0000 0.0000 0.0000  8 Sb 2.93-3.20, 4 Li 3.20
Li 0.2500 0.7500 0.5000  8 Sb 2.93-3.20, 4 Li 3.20

=====

Least stable structure: #A